Compound: KBe2HgPb
Source: Alexandria
Functional: PBE
Structure: optimized geometry

Cell: 4.7174 5.8929 4.7174 Å, 90.00 90.00 90.00°
Atoms (fractional coordinates):
Be  0.5000  0.0000  0.0000
Be  0.0000  0.0000  0.5000
Pb  0.5000  0.5000  0.5000
K  0.0000  0.5000  0.0000
Hg  0.0000  0.0000  0.0000

Computed properties:
Final energy ... -1.768 eV per atom
N(E_F) ... 0.59 states/eV per atom
Symmetry ... No. 123
Energy of formation from the pure elements ... 3.72 eV per formula unit